# 1
# PBE CaScS3, relaxed
# Fermi-level density of states = 7.652 states/eV/f.u.
# Energy = -0.165 hartree per atom
# Volume = 128 Å³/cell
# Energy relative to the elements, uncorrected = -0.356 eV per atom
# Total magnetization = 0.000 μB per formula unit
# Calculated density = 2.353 g/cm3
data_CaScS3
_chemical_formula_sum 'Ca1 Sc1 S3'
_symmetry_space_group_name_H-M 'P 1'
_symmetry_Int_Tables_number 1
_cell_length_a 5.0383
_cell_length_b 5.0383
_cell_length_c 5.0383
_cell_angle_alpha 90.00
_cell_angle_beta 90.00
_cell_angle_gamma 90.00
loop_
_symmetry_equiv_pos_as_xyz
'x,y,z'
loop_
_atom_site_label
_atom_site_type_symbol
_atom_site_fract_x
_atom_site_fract_y
_atom_site_fract_z
_atom_site_occupancy
Ca1 Ca 0.0000 0.0000 0.0000 1
Sc1 Sc 0.5000 0.5000 0.5000 1
S1 S 0.0000 0.0000 0.5000 1
S2 S 0.0000 0.5000 0.0000 1
S3 S 0.5000 0.0000 0.0000 1



# 2
# PBE Nd6As3P2Cl, relaxed
# Fermi-level density of states = 4.197 states/eV/f.u.
# Energy = -0.227 hartree per atom
# Volume = 319 Å³/cell
# Energy relative to the elements, uncorrected = -1.571 eV per atom
# Total magnetization = 0.000 μB per formula unit
# Calculated density = 6.178 g/cm3
data_Nd6As3P2Cl
_chemical_formula_sum 'Nd6 As3 P2 Cl1'
_symmetry_space_group_name_H-M 'P 1'
_symmetry_Int_Tables_number 1
_cell_length_a 9.4188
_cell_length_b 9.4188
_cell_length_c 8.4625
_cell_angle_alpha 102.57
_cell_angle_beta 102.57
_cell_angle_gamma 25.86
loop_
_symmetry_equiv_pos_as_xyz
'x,y,z'
loop_
_atom_site_label
_atom_site_type_symbol
_atom_site_fract_x
_atom_site_fract_y
_atom_site_fract_z
_atom_site_occupancy
Nd1 Nd 0.0032 0.0032 0.2669 1
Nd2 Nd 0.3273 0.3273 0.9062 1
Nd3 Nd 0.3310 0.3310 0.4210 1
Nd4 Nd 0.6690 0.6690 0.5790 1
Nd5 Nd 0.6727 0.6727 0.0938 1
Nd6 Nd 0.9968 0.9968 0.7331 1
As1 As 0.1633 0.1633 0.8355 1
As2 As 0.5000 0.5000 0.5000 1
As3 As 0.8367 0.8367 0.1645 1
P1 P 0.1660 0.1660 0.3310 1
P2 P 0.8340 0.8340 0.6690 1
Cl1 Cl 0.5000 0.5000 0.0000 1